1.
Material: Ti2Ga2Cu
Method: DFT, PBE
State: optimized geometry

Values from the calculation:
Its electronic total energy is -5.5136 eV per atom. The density of states at the Fermi level comes out at 5.115 states/eV per cell. As for the total magnetization: 0.0000 μB/atom. The formation energy from the elements comes out at -0.326 eV per atom.

Structure (POSCAR):
```
Ti2Ga2Cu
1.0
-5.539 -2.965 0.071
2.424 -4.439 3.728
-1.080 2.092 3.194
Cu Ga Ti
2 4 4
Direct
0.000 0.000 0.000
0.500 0.500 0.000
0.141 0.359 0.000
0.641 0.141 0.000
0.859 0.641 0.000
0.359 0.859 0.000
0.337 0.163 0.500
0.837 0.337 0.500
0.163 0.663 0.500
0.663 0.837 0.500
```

2.
Material: Ti3Ga2Cu
Method: DFT, PBE
State: optimized geometry

Values from the calculation:
Its electronic total energy is -5.9912 eV per atom. The density of states at the Fermi level comes out at 14.019 states/eV per cell. As for the total magnetization: 0.0006 μB/atom. The formation energy from the elements comes out at -0.352 eV per atom.

Structure (POSCAR):
```
Ti3Ga2Cu
1.0
-1.136 -7.302 2.416
-0.505 -1.905 -5.995
4.098 0.920 4.710
Cu Ti Ga
2 6 4
Direct
0.719 0.000 0.000
0.219 0.000 0.000
0.470 0.500 0.500
0.970 0.833 0.167
0.470 0.167 0.833
0.970 0.500 0.500
0.470 0.833 0.167
0.970 0.167 0.833
0.720 0.339 0.661
0.220 0.339 0.661
0.720 0.661 0.339
0.220 0.661 0.339
```

3.
Material: TiGa2Cu
Method: DFT, PBE
State: optimized geometry

Values from the calculation:
Its electronic total energy is -4.7690 eV per atom. The density of states at the Fermi level comes out at 2.587 states/eV per cell. As for the total magnetization: 0.0000 μB/atom. The formation energy from the elements comes out at -0.258 eV per atom.

Structure (POSCAR):
```
TiGa2Cu
1.0
2.898 0.000 0.000
0.000 2.898 0.000
0.000 0.000 7.017
Ga Ti Cu
2 1 1
Direct
0.000 0.000 0.768
0.000 0.000 0.232
0.500 0.500 0.500
0.500 0.500 0.000
```

4.
Material: Ti2Ga3Cu2
Method: DFT, PBE
State: optimized geometry

Values from the calculation:
Its electronic total energy is -5.0337 eV per atom. The density of states at the Fermi level comes out at 6.763 states/eV per cell. As for the total magnetization: 0.0000 μB/atom. The formation energy from the elements comes out at -0.310 eV per atom.

Structure (POSCAR):
```
Ti2Ga3Cu2
1.0
-2.364 -3.354 0.509
4.361 -3.205 -0.866
3.017 1.747 8.727
Ga Cu Ti
6 4 4
Direct
0.169 0.750 0.338
0.426 0.989 0.851
0.426 0.511 0.851
0.574 0.489 0.149
0.831 0.250 0.662
0.574 0.011 0.149
0.713 0.008 0.426
0.287 0.992 0.574
0.287 0.508 0.574
0.713 0.492 0.426
0.017 0.750 0.034
0.983 0.250 0.966
0.143 0.250 0.286
0.857 0.750 0.714
```

5.
Material: Ti2Ga3Cu
Method: DFT, PBE
State: optimized geometry

Values from the calculation:
Its electronic total energy is -5.0420 eV per atom. The density of states at the Fermi level comes out at 9.935 states/eV per cell. As for the total magnetization: 0.0000 μB/atom. The formation energy from the elements comes out at -0.214 eV per atom.

Structure (POSCAR):
```
Ti2Ga3Cu
1.0
5.402 0.008 0.000
0.008 5.538 0.003
-2.703 -1.379 6.286
Ti Cu Ga
4 2 6
Direct
0.677 0.588 0.349
0.328 0.912 0.652
0.672 0.088 0.348
0.323 0.412 0.651
0.751 0.750 0.000
0.249 0.250 0.000
0.301 0.750 0.000
0.136 0.069 0.277
0.864 0.931 0.723
0.699 0.250 0.000
0.859 0.431 0.723
0.141 0.569 0.277
```

6.
Material: Ti2Ga3Cu
Method: DFT, PBE
State: optimized geometry

Values from the calculation:
Its electronic total energy is -5.1919 eV per atom. The density of states at the Fermi level comes out at 5.418 states/eV per cell. As for the total magnetization: 0.0000 μB/atom. The formation energy from the elements comes out at -0.364 eV per atom.

Structure (POSCAR):
```
Ti2Ga3Cu
1.0
-3.117 -1.827 -3.677
4.033 2.402 -2.129
3.283 -6.599 2.869
Ga Ti Cu
6 4 2
Direct
0.341 0.829 0.170
0.171 0.659 0.830
0.171 0.171 0.342
0.659 0.171 0.830
0.829 0.829 0.658
0.829 0.341 0.170
0.246 0.246 0.000
0.250 0.750 0.500
0.754 0.754 0.000
0.750 0.250 0.500
0.334 0.334 0.667
0.666 0.666 0.333
```

7.
Material: TiGa2Cu
Method: DFT, PBE
State: optimized geometry

Values from the calculation:
Its electronic total energy is -4.6293 eV per atom. The density of states at the Fermi level comes out at 2.854 states/eV per cell. As for the total magnetization: 0.0000 μB/atom. The formation energy from the elements comes out at -0.118 eV per atom.

Structure (POSCAR):
```
TiGa2Cu
1.0
0.005 -3.189 -3.027
-1.669 -3.951 0.967
-3.780 -1.298 -1.832
Ga Cu Ti
2 1 1
Direct
0.750 0.750 0.750
0.250 0.250 0.250
0.500 0.500 0.500
0.000 0.000 0.000
```

8.
Material: Ti3Ga2Cu
Method: DFT, PBE
State: optimized geometry

Values from the calculation:
Its electronic total energy is -5.9814 eV per atom. The density of states at the Fermi level comes out at 5.684 states/eV per cell. As for the total magnetization: 0.0000 μB/atom. The formation energy from the elements comes out at -0.342 eV per atom.

Structure (POSCAR):
```
Ti3Ga2Cu
1.0
2.808 0.000 0.000
0.000 2.808 0.000
0.000 0.000 11.620
Ti Ga Cu
3 2 1
Direct
0.000 0.000 0.340
0.000 0.000 0.000
0.000 0.000 0.660
0.500 0.500 0.829
0.500 0.500 0.171
0.500 0.500 0.500
```

9.
Material: TiGa2Cu
Method: DFT, PBE
State: optimized geometry

Values from the calculation:
Its electronic total energy is -4.5509 eV per atom. The density of states at the Fermi level comes out at 7.534 states/eV per cell. As for the total magnetization: 0.0000 μB/atom. The formation energy from the elements comes out at -0.040 eV per atom.

Structure (POSCAR):
```
TiGa2Cu
1.0
6.919 0.000 0.000
0.000 6.919 0.000
3.460 3.460 2.722
Ga Cu Ti
4 2 2
Direct
0.875 0.905 0.750
0.375 0.345 0.750
0.655 0.125 0.250
0.095 0.625 0.250
0.000 0.000 0.000
0.750 0.250 0.500
0.500 0.500 0.000
0.250 0.750 0.500
```

10.
Material: TiGa2Cu
Method: DFT, PBE
State: optimized geometry

Values from the calculation:
Its electronic total energy is -4.4745 eV per atom. The density of states at the Fermi level comes out at 3.263 states/eV per cell. As for the total magnetization: 0.0002 μB/atom. The formation energy from the elements comes out at 0.037 eV per atom.

Structure (POSCAR):
```
TiGa2Cu
1.0
-0.879 -2.636 -0.643
0.502 -1.078 -2.592
8.070 -4.711 1.953
Cu Ga Ti
1 2 1
Direct
0.000 0.000 0.000
0.087 0.087 0.740
0.913 0.913 0.260
0.500 0.500 0.500
```

11.
Material: Ti6Ga2Cu
Method: DFT, PBE
State: optimized geometry

Values from the calculation:
Its electronic total energy is -6.6408 eV per atom. The density of states at the Fermi level comes out at 9.731 states/eV per cell. As for the total magnetization: 0.0000 μB/atom. The formation energy from the elements comes out at -0.250 eV per atom.

Structure (POSCAR):
```
Ti6Ga2Cu
1.0
3.128 0.000 0.000
0.000 7.361 0.000
0.000 -3.680 6.376
Ga Ti Cu
2 6 1
Direct
0.000 0.333 0.667
0.000 0.667 0.333
0.000 0.268 0.000
0.500 0.395 0.395
0.000 0.000 0.269
0.000 0.732 0.731
0.500 0.000 0.605
0.500 0.605 0.000
0.500 0.000 0.000
```

12.
Material: Ti2Ga6Cu
Method: DFT, PBE
State: optimized geometry

Values from the calculation:
Its electronic total energy is -4.4057 eV per atom. The density of states at the Fermi level comes out at 5.480 states/eV per cell. As for the total magnetization: 0.0000 μB/atom. The formation energy from the elements comes out at -0.178 eV per atom.

Structure (POSCAR):
```
Ti2Ga6Cu
1.0
-2.568 0.404 1.588
-2.073 -6.394 -1.725
4.179 0.632 6.592
Cu Ga Ti
1 6 2
Direct
0.000 0.000 0.000
0.500 0.695 0.000
0.000 0.656 0.682
0.000 0.974 0.318
0.500 0.305 0.000
0.000 0.026 0.682
0.000 0.344 0.318
0.500 0.307 0.613
0.500 0.693 0.387
```